Compound: NdCu2As2
Source: Alexandria
Functional: PBE
Structure: optimized geometry

Cell and atoms, written as CIF:
```
data_NdCu2As2
_space_group_name_H-M_alt 'C 1 2/c 1'
_space_group_IT_number 15
_cell_length_a 8.661
_cell_length_b 10.073
_cell_length_c 6.288
_cell_angle_alpha 90.00
_cell_angle_beta 132.68
_cell_angle_gamma 90.00
loop_
_space_group_symop_operation_xyz
'x,y,z'
'-x,-y,-z'
'-x,y,-z+1/2'
'x,-y,z+1/2'
'x+1/2,y+1/2,z'
'-x+1/2,-y+1/2,-z'
'-x+1/2,y+1/2,-z+1/2'
'x+1/2,-y+1/2,z+1/2'
loop_
_atom_site_label
_atom_site_type_symbol
_atom_site_fract_x
_atom_site_fract_y
_atom_site_fract_z
Nd1 Nd 0.000 0.126 0.250
Cu1 Cu 0.145 0.373 0.037
As1 As 0.000 0.168 0.750
As2 As 0.000 0.422 0.250
```

Results
* energy relative to the elements: -502 meV per atom
* raw total energy: -4.954 eV per atom